Below is crystalline GaFe2Pt5 at its relaxed geometry, with properties calculated at the PBE level.

Lattice parameters (Å, degrees): 5.509 10.803 3.991 90.00 90.00 90.00
Atoms (fractional coordinates):
Ga (0.000, 0.000, 0.000)
Ga (0.500, 0.500, 0.000)
Fe (0.204, 0.363, 0.500)
Fe (0.296, 0.863, 0.500)
Fe (0.704, 0.137, 0.500)
Fe (0.796, 0.637, 0.500)
Pt (0.000, 0.500, 0.000)
Pt (0.042, 0.757, 0.000)
Pt (0.212, 0.111, 0.500)
Pt (0.288, 0.611, 0.500)
Pt (0.458, 0.257, 0.000)
Pt (0.500, 0.000, 0.000)
Pt (0.542, 0.743, 0.000)
Pt (0.712, 0.389, 0.500)
Pt (0.788, 0.889, 0.500)
Pt (0.958, 0.243, 0.000)

Properties
Mass density: 16.174 g/cm3
Volume: 238 Å³ per cell
DFT total energy: -0.2419 Ha/atom
E_form: -0.3122 eV per atom